[1]
The following is a GGA-PBE calculation of Tl5HgSb after structural relaxation, from the Alexandria database.

Cell and atoms, written as POSCAR:
```
Tl5HgSb
1.0
8.1563 -4.2422 0.0000
8.1563 4.2422 0.0000
-1.6479 0.0000 6.3516
Tl Hg Sb
10 2 2
Cartesian
1.3452 0.9093 6.2115 Tl
6.9204 2.8571 4.7637 Tl
2.1692 -0.9093 3.0356 Tl
4.8554 0.0074 5.4448 Tl
5.6793 -0.0074 2.2689 Tl
8.9854 0.0074 4.0827 Tl
9.8093 -0.0074 0.9069 Tl
12.4956 0.9093 3.3160 Tl
7.7443 -2.8571 1.5879 Tl
13.3195 -0.9093 0.1402 Tl
7.7443 2.4154 1.5879 Hg
6.9204 -2.4154 4.7637 Hg
3.2542 2.1211 3.1758 Sb
4.0781 -2.1211 0.0000 Sb
```

Calculated values
Total magnetic moment   0.0 Bohr magnetons per cell
Energy relative to the lowest polymorph listed for this composition   0.000 eV/atom
Calculated volume   439.5 Å³/cell
Formation energy (no corrections)   0.013 eV/atom

[2]
The following is a GGA-PBE calculation of TlVHg2Sb after structural relaxation, from the Alexandria database.

Cell and atoms, written as POSCAR:
```
TlVHg2Sb
1.0
5.5609 0.0000 0.0000
0.0000 5.5609 0.0000
0.0000 0.0000 5.8623
Tl V Hg Sb
1 1 2 1
Cartesian
0.0000 0.0000 0.0000 Tl
2.7805 2.7805 2.9312 V
0.0000 2.7805 0.0000 Hg
2.7805 0.0000 0.0000 Hg
0.0000 0.0000 2.9312 Sb
```

Calculated values
Total magnetic moment   3.7 Bohr magnetons per cell
Calculated volume   181.3 Å³/cell
Formation energy (no corrections)   1.041 eV/atom

[3]
The following is a GGA-PBE calculation of YTlHg2Sb after structural relaxation, from the Alexandria database.

Cell and atoms, written as POSCAR:
```
YTlHg2Sb
1.0
5.9073 0.0000 0.0000
0.0000 5.9073 0.0000
0.0000 0.0000 5.7987
Y Tl Hg Sb
1 1 2 1
Cartesian
0.0000 0.0000 0.0000 Y
2.9536 2.9536 2.8994 Tl
0.0000 2.9536 0.0000 Hg
2.9536 0.0000 0.0000 Hg
0.0000 0.0000 2.8994 Sb
```

Calculated values
Total magnetic moment   0.0 Bohr magnetons per cell
Calculated volume   202.4 Å³/cell
Formation energy (no corrections)   0.079 eV/atom

[4]
The following is a GGA-PBE calculation of TlZnHg2Sb after structural relaxation, from the Alexandria database.

Cell and atoms, written as POSCAR:
```
TlZnHg2Sb
1.0
5.3065 0.0000 0.0000
0.0000 5.3065 0.0000
0.0000 0.0000 5.3248
Tl Zn Hg Sb
1 1 2 1
Cartesian
0.0000 0.0000 0.0000 Tl
2.6533 2.6533 2.6624 Zn
0.0000 2.6533 2.6624 Hg
2.6533 0.0000 2.6624 Hg
2.6533 2.6533 0.0000 Sb
```

Calculated values
Total magnetic moment   0.0 Bohr magnetons per cell
Calculated volume   149.9 Å³/cell
Formation energy (no corrections)   0.145 eV/atom

[5]
The following is a GGA-PBE calculation of Tm5Hg2Sb after structural relaxation, from the Alexandria database.

Cell and atoms, written as POSCAR:
```
Tm5Hg2Sb
1.0
-4.0588 4.0588 6.4688
4.0588 -4.0588 6.4688
4.0588 4.0588 -6.4688
Tm Hg Sb
10 4 2
Cartesian
0.0000 0.0000 0.0000 Tm
5.3054 1.2466 -1.9212 Tm
1.2466 2.8122 -1.9212 Tm
5.3054 1.2466 1.9212 Tm
1.2466 2.8122 1.9212 Tm
0.0000 0.0000 6.4688 Tm
2.8122 1.2466 4.5476 Tm
-1.2466 2.8122 4.5476 Tm
2.8122 1.2466 8.3900 Tm
-1.2466 2.8122 8.3900 Tm
2.9200 1.1388 0.0000 Hg
2.9200 -1.1388 6.4688 Hg
1.1388 5.1976 0.0000 Hg
1.1388 2.9200 6.4688 Hg
0.0000 0.0000 3.2344 Sb
0.0000 0.0000 9.7032 Sb
```

Calculated values
Total magnetic moment   0.0 Bohr magnetons per cell
Calculated volume   426.3 Å³/cell
Formation energy (no corrections)   -0.538 eV/atom

[6]
The following is a GGA-PBE calculation of Tm2HgSb after structural relaxation, from the Alexandria database.

Cell and atoms, written as POSCAR:
```
Tm2HgSb
1.0
2.0774 1.1994 7.5835
-2.0774 1.1994 7.5835
0.0000 -2.3987 7.5835
Tm Hg Sb
2 1 1
Cartesian
0.0000 0.0000 5.6163 Tm
0.0000 0.0000 17.1340 Tm
0.0000 0.0000 0.0000 Hg
0.0000 0.0000 11.3752 Sb
```

Calculated values
Total magnetic moment   0.0 Bohr magnetons per cell
Energy relative to the lowest polymorph listed for this composition   0.089 eV/atom
Calculated volume   113.4 Å³/cell
Formation energy (no corrections)   -0.623 eV/atom

[7]
The following is a GGA-PBE calculation of Tm6HgSb2 after structural relaxation, from the Alexandria database.

Cell and atoms, written as POSCAR:
```
Tm6HgSb2
1.0
6.2739 0.0000 0.0000
0.0000 8.1426 0.0000
-6.1141 0.0000 9.9402
Tm Hg Sb
12 2 4
Cartesian
-0.9035 0.3498 2.2661 Tm
-3.9605 3.7215 7.2362 Tm
0.7345 5.7536 0.5330 Tm
-2.3226 6.4603 5.5031 Tm
2.2918 1.2811 0.4388 Tm
-0.7653 2.7902 5.4089 Tm
0.9250 5.3524 4.5313 Tm
-2.1320 6.8615 9.5014 Tm
2.4823 1.6823 4.4371 Tm
-0.5748 2.3890 9.4072 Tm
4.1203 4.4211 2.7040 Tm
1.0632 7.7928 7.6741 Tm
0.0799 0.0000 4.9701 Hg
3.1369 4.0713 0.0000 Hg
-2.3900 0.9256 7.3285 Sb
0.6670 3.1457 2.3584 Sb
-0.5073 4.9969 7.5818 Sb
2.5498 7.2170 2.6117 Sb
```

Calculated values
Total magnetic moment   0.0 Bohr magnetons per cell
Calculated volume   507.8 Å³/cell
Formation energy (no corrections)   -0.494 eV/atom

[8]
The following is a GGA-PBE calculation of Tm8Hg2Sb after structural relaxation, from the Alexandria database.

Cell and atoms, written as POSCAR:
```
Tm8Hg2Sb
1.0
4.3059 -7.0093 0.0000
4.3059 7.0093 0.0000
-1.8611 0.0000 5.2104
Tm Hg Sb
8 2 1
Cartesian
0.6561 1.6306 3.2091 Tm
4.3059 3.8199 0.0000 Tm
0.6561 -1.6306 3.2091 Tm
3.0533 0.0000 1.0489 Tm
3.6975 0.0000 4.1615 Tm
6.0947 1.6306 2.0013 Tm
4.3059 -3.8199 0.0000 Tm
6.0947 -1.6306 2.0013 Tm
3.3754 2.7550 2.6052 Hg
3.3754 -2.7550 2.6052 Hg
0.0000 0.0000 0.0000 Sb
```

Calculated values
Total magnetic moment   0.0 Bohr magnetons per cell
Calculated volume   314.5 Å³/cell
Formation energy (no corrections)   -0.215 eV/atom

[9]
The following is a GGA-PBE calculation of Tm2HgSb after structural relaxation, from the Alexandria database.

Cell and atoms, written as POSCAR:
```
Tm2HgSb
1.0
2.0779 1.1997 7.6663
-2.0779 1.1997 7.6663
0.0000 -2.3993 7.6663
Tm Hg Sb
2 1 1
Cartesian
0.0000 0.0000 0.0000 Tm
0.0000 0.0000 4.0030 Tm
0.0000 0.0000 9.6402 Hg
0.0000 0.0000 13.5145 Sb
```

Calculated values
Total magnetic moment   0.0 Bohr magnetons per cell
Energy relative to the lowest polymorph listed for this composition   0.135 eV/atom
Calculated volume   114.7 Å³/cell
Formation energy (no corrections)   -0.577 eV/atom

[10]
The following is a GGA-PBE calculation of TmHgSb2 after structural relaxation, from the Alexandria database.

Cell and atoms, written as POSCAR:
```
TmHgSb2
1.0
4.9617 0.0000 0.0000
0.0000 4.9617 0.0000
0.0000 0.0000 4.1267
Tm Hg Sb
1 1 2
Cartesian
0.0000 0.0000 0.0000 Tm
2.4809 2.4809 0.0000 Hg
0.0000 2.4809 2.0634 Sb
2.4809 0.0000 2.0634 Sb
```

Calculated values
Total magnetic moment   0.0 Bohr magnetons per cell
Energy relative to the lowest polymorph listed for this composition   0.000 eV/atom
Calculated volume   101.6 Å³/cell
Formation energy (no corrections)   -0.379 eV/atom

[11]
The following is a GGA-PBE calculation of TmHgSb2 after structural relaxation, from the Alexandria database.

Cell and atoms, written as POSCAR:
```
TmHgSb2
1.0
2.2553 1.3021 6.6272
-2.2553 1.3021 6.6272
0.0000 -2.6042 6.6272
Tm Hg Sb
1 1 2
Cartesian
0.0000 0.0000 0.0000 Tm
0.0000 0.0000 9.9408 Hg
0.0000 0.0000 5.0061 Sb
0.0000 0.0000 14.8755 Sb
```

Calculated values
Total magnetic moment   0.0 Bohr magnetons per cell
Energy relative to the lowest polymorph listed for this composition   0.175 eV/atom
Calculated volume   116.8 Å³/cell
Formation energy (no corrections)   -0.203 eV/atom

[12]
The following is a GGA-PBE calculation of Tm4HgSb2 after structural relaxation, from the Alexandria database.

Cell and atoms, written as POSCAR:
```
Tm4HgSb2
1.0
7.6651 -2.0639 0.0000
7.6651 2.0639 0.0000
-3.4579 0.0000 6.5696
Tm Hg Sb
4 1 2
Cartesian
0.8398 0.0000 1.6510 Tm
5.2273 0.0000 1.1132 Tm
6.6450 0.0000 5.4564 Tm
11.0325 0.0000 4.9186 Tm
-1.7289 0.0000 3.2848 Hg
1.1625 0.0000 4.7585 Sb
10.7098 0.0000 1.8111 Sb
```

Calculated values
Total magnetic moment   0.0 Bohr magnetons per cell
Calculated volume   207.9 Å³/cell
Formation energy (no corrections)   -0.553 eV/atom

[13]
The following is a GGA-PBE calculation of TmHgSb after structural relaxation, from the Alexandria database.

Cell and atoms, written as POSCAR:
```
TmHgSb
1.0
-2.0778 2.0778 4.6183
2.0778 -2.0778 4.6183
2.0778 2.0778 -4.6183
Tm Hg Sb
1 1 1
Cartesian
0.0000 0.0000 0.0000 Tm
0.0000 0.0000 2.9782 Hg
0.0000 0.0000 5.9740 Sb
```

Calculated values
Total magnetic moment   0.0 Bohr magnetons per cell
Energy relative to the lowest polymorph listed for this composition   0.049 eV/atom
Calculated volume   79.8 Å³/cell
Formation energy (no corrections)   -0.432 eV/atom